[1]
DFT (PBE) results for crystalline BaHf4Se8 at its relaxed geometry.

Unit cell a=7.5172 b=7.5172 c=9.0805 alpha=65.55 beta=65.55 gamma=60.00
Element x y z (fractional)
Se (0.2315, 0.2315, 0.7983)
Hf (0.0000, 0.0000, 0.0000)
Se (0.7330, 0.7330, 0.8011)
Se (0.2670, 0.2670, 0.1989)
Hf (0.5000, 0.0000, 0.0000)
Se (0.7685, 0.7685, 0.2017)
Hf (0.0000, 0.5000, 0.0000)
Se (0.7685, 0.2613, 0.2017)
Hf (0.5000, 0.5000, 0.0000)
Se (0.2315, 0.7387, 0.7983)
Se (0.2613, 0.7685, 0.2017)
Se (0.7387, 0.2315, 0.7983)
Ba (0.5000, 0.5000, 0.5000)

Summary:
Its uncorrected formation energy is -1.468 eV per atom. As for the energy above the most stable polymorph in this dataset: 0.00 kJ/mol of atoms. Its space group is R-3m.

=====

[2]
DFT (PBE) results for crystalline Pm3Al4Cu8 at its relaxed geometry.

Unit cell a=8.9872 b=8.9872 c=8.9872 alpha=60.00 beta=60.00 gamma=60.00
Element x y z (fractional)
Pm (0.2656, 0.7344, 0.2656)
Cu (0.8702, 0.8702, 0.8702)
Cu (0.8702, 0.3893, 0.8702)
Cu (0.6107, 0.1298, 0.1298)
Cu (0.0185, 0.3272, 0.3272)
Cu (0.3272, 0.3272, 0.0185)
Al (0.5000, 0.0000, 0.5000)
Cu (0.6728, 0.9815, 0.6728)
Pm (0.7344, 0.2656, 0.7344)
Pm (0.2656, 0.2656, 0.7344)
Al (0.5000, 0.0000, 0.0000)
Cu (0.6728, 0.6728, 0.6728)
Pm (0.7344, 0.2656, 0.2656)
Cu (0.1298, 0.1298, 0.1298)
Cu (0.8702, 0.8702, 0.3893)
Al (0.0000, 0.0000, 0.5000)
Cu (0.6728, 0.6728, 0.9815)
Al (0.5000, 0.5000, 0.0000)
Cu (0.3272, 0.3272, 0.3272)
Cu (0.1298, 0.1298, 0.6107)
Pm (0.2656, 0.7344, 0.7344)
Cu (0.3272, 0.0185, 0.3272)
Cu (0.1298, 0.6107, 0.1298)
Al (0.5000, 0.5000, 0.5000)
Al (0.0000, 0.5000, 0.0000)
Cu (0.3893, 0.8702, 0.8702)
Al (0.0000, 0.0000, 0.0000)
Al (0.0000, 0.5000, 0.5000)
Cu (0.9815, 0.6728, 0.6728)
Pm (0.7344, 0.7344, 0.2656)

Summary:
For the formation energy from the elements, the calculation gives -0.284 eV per atom. Its space group is Fm-3m.

=====

[3]
DFT (PBE) results for crystalline KBi2Rh at its relaxed geometry.

Unit cell a=8.5840 b=8.5840 c=6.9017 alpha=51.55 beta=51.55 gamma=90.00
Element x y z (fractional)
K (0.5000, 0.5000, 0.0000)
Bi (0.8750, 0.9574, 0.7500)
Rh (0.0000, 0.0000, 0.0000)
Rh (0.7500, 0.2500, 0.5000)
Bi (0.0426, 0.6250, 0.2500)
Bi (0.7074, 0.1250, 0.2500)
Bi (0.3750, 0.2926, 0.7500)
K (0.2500, 0.7500, 0.5000)

Summary:
For the formation energy from the elements, the calculation gives -0.048 eV per atom. As for the energy above the most stable polymorph in this dataset: 16.82 kJ/mol of atoms. Its space group is I-42d.

=====

[4]
DFT (PBE) results for crystalline Ca2PuAs3 at its relaxed geometry.

Unit cell a=4.2168 b=5.8582 c=7.2799 alpha=113.73 beta=106.84 gamma=90.00
Element x y z (fractional)
As (0.0000, 0.0000, 0.0000)
Pu (0.0000, 0.5000, 0.0000)
As (0.3489, 0.3489, 0.6978)
Ca (0.6715, 0.1715, 0.3429)
Ca (0.3285, 0.8285, 0.6571)
As (0.6511, 0.6511, 0.3022)

Summary:
For the formation energy from the elements, the calculation gives -0.990 eV per atom. As for the energy above the most stable polymorph in this dataset: 1.37 kJ/mol of atoms. Its space group is Immm.

=====

[5]
DFT (PBE) results for crystalline Ba2SnSb2 at its relaxed geometry.

Unit cell a=4.6810 b=7.5162 c=11.4614 alpha=90.00 beta=101.78 gamma=90.00
Element x y z (fractional)
Sb (0.5788, 0.9291, 0.1576)
Ba (0.9652, 0.7573, 0.9304)
Sn (0.3923, 0.0538, 0.7846)
Ba (0.1954, 0.9358, 0.3909)
Sb (0.4212, 0.4291, 0.8424)
Sb (0.1848, 0.4584, 0.3697)
Sb (0.8152, 0.9584, 0.6303)
Ba (0.8046, 0.4358, 0.6091)
Ba (0.0348, 0.2573, 0.0696)
Sn (0.6077, 0.5538, 0.2154)

Summary:
Its uncorrected formation energy is -0.797 eV per atom. As for the energy above the most stable polymorph in this dataset: 0.00 kJ/mol of atoms. Its space group is Cmc2_1.

=====

[6]
DFT (PBE) results for crystalline Eu2LuIn at its relaxed geometry.

Unit cell a=3.5672 b=3.5672 c=12.3552 alpha=81.70 beta=81.70 gamma=60.00
Element x y z (fractional)
In (0.5000, 0.5000, 0.5000)
Eu (0.0927, 0.0927, 0.7218)
Eu (0.9073, 0.9073, 0.2782)
Lu (0.0000, 0.0000, 0.0000)

Summary:
For the formation energy from the elements, the calculation gives 0.095 eV per atom. As for the energy above the most stable polymorph in this dataset: 26.62 kJ/mol of atoms. Its space group is R-3m.

=====

[7]
DFT (PBE) results for crystalline CaSiRu2C at its relaxed geometry.

Unit cell a=3.8679 b=5.8638 c=7.2003 alpha=90.00 beta=90.00 gamma=109.26
Element x y z (fractional)
C (0.0000, 0.0000, 0.5000)
Si (0.2704, 0.5407, 0.2500)
Ca (0.5452, 0.0904, 0.2500)
Si (0.7296, 0.4593, 0.7500)
Ru (0.1642, 0.3283, 0.5551)
Ru (0.8358, 0.6717, 0.4449)
Ru (0.1642, 0.3283, 0.9449)
Ru (0.8358, 0.6717, 0.0551)
C (0.0000, 0.0000, 0.0000)
Ca (0.4548, 0.9096, 0.7500)

Summary:
Its uncorrected formation energy is -0.388 eV per atom. Its space group is Cmcm.

=====

[8]
DFT (PBE) results for crystalline Hf2TcI at its relaxed geometry.

Unit cell a=6.1906 b=6.1906 c=7.8233 alpha=66.69 beta=66.69 gamma=90.00
Element x y z (fractional)
Hf (0.8750, 0.7838, 0.7500)
Tc (0.2500, 0.7500, 0.5000)
Hf (0.5338, 0.1250, 0.2500)
Hf (0.2162, 0.6250, 0.2500)
I (0.7500, 0.2500, 0.5000)
Tc (0.5000, 0.5000, 0.0000)
Hf (0.3750, 0.4662, 0.7500)
I (0.0000, 0.0000, 0.0000)

Summary:
Its uncorrected formation energy is 0.706 eV per atom. As for the energy above the most stable polymorph in this dataset: 30.55 kJ/mol of atoms. Its space group is I-42d.

=====

What did the sixth record say?
DFT (PBE) results for crystalline Eu2LuIn at its relaxed geometry.

Unit cell a=3.5672 b=3.5672 c=12.3552 alpha=81.70 beta=81.70 gamma=60.00
Element x y z (fractional)
In (0.5000, 0.5000, 0.5000)
Eu (0.0927, 0.0927, 0.7218)
Eu (0.9073, 0.9073, 0.2782)
Lu (0.0000, 0.0000, 0.0000)

Summary:
For the formation energy from the elements, the calculation gives 0.095 eV per atom. As for the energy above the most stable polymorph in this dataset: 26.62 kJ/mol of atoms. Its space group is R-3m.